First-principles (SCAN) data for a PBEsol-optimized structure of Y2BeRu, as listed in Alexandria via LeMat-Bulk.

Computed properties:
The calculation puts the formation energy at -0.31 eV/atom.

Cell: 3.897 5.601 5.601 Å, 41.67 90.00 90.00°
Element x y z (fractional)
Y1 0.000 0.000 0.000
Y2 0.500 0.279 0.279
Be1 0.000 0.694 0.694
Ru1 0.500 0.580 0.580


First-principles (SCAN) data for a PBEsol-optimized structure of Be2ZnRu2, as listed in Alexandria via LeMat-Bulk.

Computed properties:
The calculation puts the formation energy at -0.43 eV/atom.

Cell: 5.860 5.860 3.120 Å, 90.00 90.00 90.00°
Element x y z (fractional)
Be1 0.123 0.377 0.000
Be2 0.377 0.877 0.000
Be3 0.623 0.123 0.000
Be4 0.877 0.623 0.000
Zn1 0.000 0.000 0.000
Zn2 0.500 0.500 0.000
Ru1 0.173 0.673 0.500
Ru2 0.327 0.173 0.500
Ru3 0.673 0.827 0.500
Ru4 0.827 0.327 0.500


First-principles (SCAN) data for a PBEsol-optimized structure of Be3ZnRu, as listed in Alexandria via LeMat-Bulk.

Computed properties:
The calculation puts the formation energy at 0.86 eV/atom.

Cell: 3.898 3.898 3.898 Å, 90.00 90.00 90.00°
Element x y z (fractional)
Be1 0.000 0.000 0.500
Be2 0.000 0.500 0.000
Be3 0.500 0.000 0.000
Zn1 0.000 0.000 0.000
Ru1 0.500 0.500 0.500


First-principles (SCAN) data for a PBEsol-optimized structure of ZrBeRu2, as listed in Alexandria via LeMat-Bulk.

Computed properties:
The calculation puts the formation energy at -0.35 eV/atom.

Cell: 4.178 4.178 3.194 Å, 90.00 90.00 90.00°
Element x y z (fractional)
Zr1 0.000 0.000 0.000
Be1 0.500 0.500 0.000
Ru1 0.000 0.500 0.500
Ru2 0.500 0.000 0.500


First-principles (SCAN) data for a PBEsol-optimized structure of ZrBe4Ru, as listed in Alexandria via LeMat-Bulk.

Computed properties:
The calculation puts the formation energy at -0.50 eV/atom.

Cell: 4.516 4.516 4.516 Å, 60.00 60.00 60.00°
Element x y z (fractional)
Zr1 0.000 0.000 0.000
Be1 0.377 0.377 0.377
Be2 0.377 0.377 0.870
Be3 0.377 0.870 0.377
Be4 0.870 0.377 0.377
Ru1 0.750 0.750 0.750


First-principles (SCAN) data for a PBEsol-optimized structure of Zr2BeRu, as listed in Alexandria via LeMat-Bulk.

Computed properties:
The calculation puts the formation energy at -0.44 eV/atom.

Cell: 3.205 3.205 6.309 Å, 90.00 90.00 90.00°
Element x y z (fractional)
Zr1 0.000 0.000 0.244
Zr2 0.000 0.000 0.756
Be1 0.500 0.500 0.000
Ru1 0.500 0.500 0.500


First-principles (SCAN) data for a PBEsol-optimized structure of ZrBe2Ru2, as listed in Alexandria via LeMat-Bulk.

Computed properties:
The calculation puts the formation energy at -0.55 eV/atom.

Cell: 6.424 6.424 3.016 Å, 90.00 90.00 90.00°
Element x y z (fractional)
Zr1 0.000 0.000 0.000
Zr2 0.500 0.500 0.000
Be1 0.116 0.384 0.000
Be2 0.384 0.884 0.000
Be3 0.616 0.116 0.000
Be4 0.884 0.616 0.000
Ru1 0.168 0.668 0.500
Ru2 0.332 0.168 0.500
Ru3 0.668 0.832 0.500
Ru4 0.832 0.332 0.500


First-principles (SCAN) data for a PBEsol-optimized structure of Zr2BeRu, as listed in Alexandria via LeMat-Bulk.

Computed properties:
The calculation puts the formation energy at -0.38 eV/atom.

Cell: 4.029 5.270 5.270 Å, 37.11 90.00 90.00°
Element x y z (fractional)
Zr1 0.000 0.000 0.000
Zr2 0.500 0.284 0.284
Be1 0.500 0.570 0.570
Ru1 0.000 0.713 0.713


First-principles (SCAN) data for a PBEsol-optimized structure of Be2SbS2, as listed in Alexandria via LeMat-Bulk.

Computed properties:
The formation energy (no corrections) comes out at 0.102 eV per atom.

Cell: 7.700 7.700 3.370 Å, 90.00 90.00 90.00°
Element x y z (fractional)
Be1 0.244 0.256 0.000
Be2 0.256 0.756 0.000
Be3 0.744 0.244 0.000
Be4 0.756 0.744 0.000
Sb1 0.000 0.000 0.500
Sb2 0.500 0.500 0.500
S1 0.151 0.349 0.500
S2 0.349 0.849 0.500
S3 0.651 0.151 0.500
S4 0.849 0.651 0.500


First-principles (SCAN) data for a PBEsol-optimized structure of Sc3BeS, as listed in Alexandria via LeMat-Bulk.

Computed properties:
The formation energy (no corrections) comes out at -0.500 eV per atom.

Cell: 4.714 4.714 4.714 Å, 90.00 90.00 90.00°
Element x y z (fractional)
Sc1 0.000 0.000 0.500
Sc2 0.000 0.500 0.000
Sc3 0.500 0.000 0.000
Be1 0.500 0.500 0.500
S1 0.000 0.000 0.000


First-principles (SCAN) data for a PBEsol-optimized structure of Be2SeS, as listed in Alexandria via LeMat-Bulk.

Computed properties:
The formation energy (no corrections) comes out at -1.084 eV per atom.

Cell: 6.104 6.104 6.104 Å, 131.79 131.79 70.57°
Element x y z (fractional)
Be1 0.106 0.625 0.981
Be2 0.375 0.356 0.481
Be3 0.644 0.125 0.019
Be4 0.875 0.894 0.519
Se1 0.250 0.750 0.500
Se2 0.500 0.500 0.000
S1 0.000 0.000 0.000
S2 0.750 0.250 0.500


First-principles (SCAN) data for a PBEsol-optimized structure of BeZnSi2S, as listed in Alexandria via LeMat-Bulk.

Computed properties:
The formation energy (no corrections) comes out at 1.186 eV per atom.

Cell: 4.583 4.583 4.417 Å, 90.00 90.00 90.00°
Element x y z (fractional)
Be1 0.000 0.000 0.000
Zn1 0.500 0.500 0.000
Si1 0.000 0.500 0.500
Si2 0.500 0.000 0.500
S1 0.500 0.500 0.500


First-principles (SCAN) data for a PBEsol-optimized structure of Sr2BeS, as listed in Alexandria via LeMat-Bulk.

Computed properties:
The formation energy (no corrections) comes out at -0.513 eV per atom.

Cell: 6.868 6.868 6.868 Å, 110.20 110.20 108.02°
Element x y z (fractional)
Sr1 0.101 0.125 0.476
Sr2 0.375 0.899 0.024
Sr3 0.649 0.625 0.524
Sr4 0.875 0.351 0.976
Be1 0.250 0.750 0.500
Be2 0.500 0.500 0.000
S1 0.000 0.000 0.000
S2 0.750 0.250 0.500


First-principles (SCAN) data for a PBEsol-optimized structure of Ta2BeS, as listed in Alexandria via LeMat-Bulk.

Computed properties:
The formation energy (no corrections) comes out at 0.672 eV per atom.

Cell: 6.720 6.720 6.720 Å, 135.53 135.53 64.70°
Element x y z (fractional)
Ta1 0.088 0.625 0.963
Ta2 0.375 0.338 0.463
Ta3 0.662 0.125 0.037
Ta4 0.875 0.912 0.537
Be1 0.000 0.000 0.000
Be2 0.750 0.250 0.500
S1 0.250 0.750 0.500
S2 0.500 0.500 0.000


First-principles (SCAN) data for a PBEsol-optimized structure of BeTc2S, as listed in Alexandria via LeMat-Bulk.

Computed properties:
The formation energy (no corrections) comes out at 0.393 eV per atom.

Cell: 8.518 8.518 8.518 Å, 155.46 155.46 34.97°
Element x y z (fractional)
Be1 0.000 0.000 0.000
Be2 0.750 0.250 0.500
Tc1 0.114 0.625 0.989
Tc2 0.375 0.364 0.489
Tc3 0.636 0.125 0.011
Tc4 0.875 0.886 0.511
S1 0.250 0.750 0.500
S2 0.500 0.500 0.000


First-principles (SCAN) data for a PBEsol-optimized structure of Be2Te2S, as listed in Alexandria via LeMat-Bulk.

Computed properties:
The formation energy (no corrections) comes out at 0.531 eV per atom.

Cell: 7.057 7.057 3.476 Å, 90.00 90.00 90.00°
Element x y z (fractional)
Be1 0.125 0.375 0.000
Be2 0.375 0.875 0.000
Be3 0.625 0.125 0.000
Be4 0.875 0.625 0.000
Te1 0.165 0.665 0.500
Te2 0.335 0.165 0.500
Te3 0.665 0.835 0.500
Te4 0.835 0.335 0.500
S1 0.000 0.000 0.000
S2 0.500 0.500 0.000


First-principles (SCAN) data for a PBEsol-optimized structure of BeTeS2, as listed in Alexandria via LeMat-Bulk.

Computed properties:
As for the energy above the lowest structure with this stoichiometry: 0.0000 eV per atom. The formation energy (no corrections) comes out at -0.248 eV per atom.

Cell: 7.671 7.671 7.671 Å, 25.51 25.51 25.51°
Element x y z (fractional)
Be1 0.000 0.000 0.000
Te1 0.500 0.500 0.500
S1 0.386 0.386 0.386
S2 0.614 0.614 0.614


First-principles (SCAN) data for a PBEsol-optimized structure of TiBeS3, as listed in Alexandria via LeMat-Bulk.

Computed properties:
The formation energy (no corrections) comes out at -0.106 eV per atom.

Cell: 4.239 4.239 4.239 Å, 90.00 90.00 90.00°
Element x y z (fractional)
Ti1 0.000 0.000 0.000
Be1 0.500 0.500 0.500
S1 0.000 0.500 0.500
S2 0.500 0.000 0.500
S3 0.500 0.500 0.000


First-principles (SCAN) data for a PBEsol-optimized structure of Ti2BeS, as listed in Alexandria via LeMat-Bulk.

Computed properties:
The formation energy (no corrections) comes out at 0.132 eV per atom.

Cell: 6.627 6.627 6.627 Å, 133.77 133.77 67.45°
Element x y z (fractional)
Ti1 0.111 0.625 0.986
Ti2 0.375 0.361 0.486
Ti3 0.639 0.125 0.014
Ti4 0.875 0.889 0.514
Be1 0.000 0.000 0.000
Be2 0.750 0.250 0.500
S1 0.250 0.750 0.500
S2 0.500 0.500 0.000


First-principles (SCAN) data for a PBEsol-optimized structure of BeTl3S, as listed in Alexandria via LeMat-Bulk.

Computed properties:
The formation energy (no corrections) comes out at 0.774 eV per atom.

Cell: 5.513 5.513 5.513 Å, 90.00 90.00 90.00°
Element x y z (fractional)
Be1 0.000 0.000 0.000
Tl1 0.000 0.500 0.500
Tl2 0.500 0.000 0.500
Tl3 0.500 0.500 0.000
S1 0.500 0.500 0.500


Calculated values (g/cm³) of theoretical density for the records, taken in order: 5.882; 8.851; 5.426; 9.007; 5.823; 7.496; 8.308; 7.194; 3.390; 2.789; 3.460; 2.911; 2.882; 9.114; 7.397; 5.857; 4.522; 3.337; 3.045; 6.483.
Calculated values (eV/atom) of calculated total energy for the records, taken in order: -24.03; -18.81; -11.42; -26.53; -14.32; -25.58; -22.36; -25.53; -12.94; -11.84; -10.69; -8.32; -15.15; -36.12; -20.63; -18.04; -15.46; -9.96; -11.38; -45.44.